Entry from Alexandria: a geometry-optimized InPd4Pb structure (PBE).

Cell: 7.673 7.673 7.673 Å, 90.00 90.00 90.00°
Space group F-43m (No. 216)
Symmetry-distinct sites (fractional):
In 0.000 0.000 0.000
Pd 0.125 0.125 0.625
Pb 0.250 0.250 0.250

Results
total energy	-4.72	eV/atom
formation enthalpy at 0 K	-18	kJ per mole of atoms
energy above the lowest structure with this stoichiometry	134	meV per atom

***

Entry from Alexandria: a geometry-optimized SrScAs2 structure (PBE).

Cell: 4.487 5.445 7.714 Å, 90.00 90.00 90.00°
Space group Cmmm (No. 65)
Symmetry-distinct sites (fractional):
Sr 0.000 0.000 0.000
Sc 0.000 0.000 0.500
As 0.000 0.500 0.284

Results
total energy	-5.23	eV/atom
formation enthalpy at 0 K	-87	kJ per mole of atoms
energy above the lowest structure with this stoichiometry	188	meV per atom

***

Entry from Alexandria: a geometry-optimized Li6PrCd2 structure (PBE).

Cell: 4.240 4.240 11.150 Å, 90.00 90.00 90.00°
Space group P4/mmm (No. 123)
Symmetry-distinct sites (fractional):
Li 0.000 0.000 0.000
Li 0.000 0.500 0.199
Li 0.500 0.500 0.000
Pr 0.000 0.000 0.500
Cd 0.500 0.500 0.363

Results
total energy	-2.12	eV/atom
formation enthalpy at 0 K	-10	kJ per mole of atoms